# 1
Entry from Alexandria: Pm2SmMg after structural relaxation (PBE).

Final energy ... -3.95 eV per atom
ΔH_f (0 K) ... 0.005 eV per atom
Space-group type ... No. 123
Density ... 6.15 g cm⁻³
Spin magnetization ... 0.000 μB per atom

a b c (Å): 4.9913 5.0125 5.0125
angles (deg): 90.00 90.00 90.00
Last column: nearest neighbours and their distance in Å.
Fractional positions:
Sm 0.5000 0.5000 0.5000  8 Pm 3.54, 4 Mg 3.54
Mg 0.5000 0.0000 0.0000  8 Pm 3.54, 4 Sm 3.54
Pm 0.0000 0.5000 0.0000  4 Mg 3.54, 4 Sm 3.54, 4 Pm 3.54
Pm 0.0000 0.0000 0.5000  4 Mg 3.54, 4 Sm 3.54, 4 Pm 3.54

=====

# 2
Entry from Alexandria: Pm6SmMg after structural relaxation (PBE).

Final energy ... -4.34 eV per atom
ΔH_f (0 K) ... 0.013 eV per atom
Space-group type ... No. 139
Density ... 6.59 g cm⁻³
Spin magnetization ... 0.000 μB per atom

a b c (Å): 5.0666 5.0666 10.8659
angles (deg): 76.52 76.52 90.00
Last column: nearest neighbours and their distance in Å.
Fractional positions:
Sm 0.5000 0.5000 0.0000  8 Pm 3.57, 4 Mg 3.58
Pm 0.8772 0.3772 0.2455  2 Sm 3.57, 2 Mg 3.57, 8 Pm 3.58-3.66
Pm 0.7482 0.7482 0.5037  12 Pm 3.58-3.66
Pm 0.2518 0.2518 0.4963  12 Pm 3.58-3.66
Pm 0.6227 0.1228 0.7545  2 Mg 3.57, 2 Sm 3.57, 8 Pm 3.58-3.66
Pm 0.3773 0.8772 0.2455  2 Mg 3.57, 2 Sm 3.57, 8 Pm 3.58-3.66
Pm 0.1228 0.6228 0.7545  2 Sm 3.57, 2 Mg 3.57, 8 Pm 3.58-3.66
Mg 0.0000 0.0000 0.0000  8 Pm 3.57, 4 Sm 3.58

=====

Number 1: polymorph energy (0 for the lowest one) 42.3 meV per atom. Number 2: polymorph energy (0 for the lowest one) 0.0 meV per atom.